1.
# Rb4CeNd3Se8

An optimized crystal structure of Rb4CeNd3Se8 (PBE, Alexandria via LeMat-Bulk).

Calculated values
- ΔE_f (raw): -166 kJ/mol of atoms
- Fermi-level density of states: 5.34 states/eV per cell
- ρ: 4.8 g/cm³
- SG: R-3m (166)

Unit cell a=8.783 b=9.484 c=8.783 alpha=117.61 beta=120.00 gamma=90.00
Site moments in Bohr magnetons follow the coordinates.
Sites, in units of the cell vectors:
Rb1 0.500 0.000 0.000  0.00
Rb2 0.000 0.000 0.500  0.00
Rb3 0.500 0.000 0.500  0.00
Rb4 0.000 0.000 0.000  0.00
Ce1 0.000 0.500 0.000  0.96
Se1 0.266 0.299 0.532  0.00
Se2 0.234 0.700 0.967  -0.01
Se3 0.733 0.700 0.967  -0.01
Se4 0.267 0.300 0.033  -0.01
Se5 0.734 0.701 0.468  0.00
Se6 0.766 0.300 0.033  -0.01
Se7 0.766 0.300 0.532  -0.01
Se8 0.234 0.700 0.468  -0.01
Nd1 0.000 0.500 0.500  0.01
Nd2 0.500 0.500 0.500  0.01
Nd3 0.500 0.500 0.000  0.01

***

2.
# Rb2CeNdSe4

An optimized crystal structure of Rb2CeNdSe4 (PBE, Alexandria via LeMat-Bulk).

Calculated values
- ΔE_f (raw): -164 kJ/mol of atoms
- Fermi-level density of states: 5.65 states/eV per cell
- ρ: 4.8 g/cm³
- SG: P2/m (10)

Unit cell a=4.401 b=7.618 c=8.393 alpha=107.60 beta=90.00 gamma=90.00
Site moments in Bohr magnetons follow the coordinates.
Sites, in units of the cell vectors:
Se1 0.500 0.233 0.201  -0.01
Se2 0.000 0.266 0.800  -0.01
Se3 0.500 0.767 0.799  -0.01
Se4 0.000 0.734 0.200  -0.01
Nd1 0.000 0.000 0.000  0.01
Rb1 0.500 0.000 0.500  0.00
Rb2 0.000 0.500 0.500  0.00
Ce1 0.500 0.500 0.000  0.96

***

3.
# Rb4CeNd3Te8

An optimized crystal structure of Rb4CeNd3Te8 (PBE, Alexandria via LeMat-Bulk).

Calculated values
- ΔE_f (raw): -134 kJ/mol of atoms
- Fermi-level density of states: 8.44 states/eV per cell
- ρ: 5.0 g/cm³
- SG: R-3m (166)

Unit cell a=9.330 b=10.120 c=9.331 alpha=117.47 beta=120.00 gamma=90.00
Site moments in Bohr magnetons follow the coordinates.
Sites, in units of the cell vectors:
Te1 0.265 0.295 0.530  0.00
Te2 0.266 0.295 0.031  -0.01
Te3 0.734 0.705 0.969  -0.01
Te4 0.764 0.295 0.031  -0.01
Te5 0.764 0.295 0.529  -0.01
Te6 0.236 0.705 0.471  -0.01
Te7 0.236 0.705 0.969  -0.01
Te8 0.735 0.705 0.470  0.00
Rb1 0.000 0.000 0.500  0.00
Rb2 0.500 0.000 0.000  0.00
Rb3 0.000 0.000 0.000  0.00
Rb4 0.500 0.000 0.500  0.00
Nd1 0.000 0.500 0.500  0.00
Nd2 0.500 0.500 0.000  0.00
Nd3 0.500 0.500 0.500  0.00
Ce1 0.000 0.500 0.000  0.99

***

4.
# Rb2CeNdTe4

An optimized crystal structure of Rb2CeNdTe4 (PBE, Alexandria via LeMat-Bulk).

Calculated values
- ΔE_f (raw): -132 kJ/mol of atoms
- Fermi-level density of states: 8.17 states/eV per cell
- ρ: 5.0 g/cm³
- SG: P2/m (10)

Unit cell a=4.672 b=8.093 c=8.972 alpha=107.51 beta=90.00 gamma=90.00
Site moments in Bohr magnetons follow the coordinates.
Sites, in units of the cell vectors:
Rb1 0.500 0.000 0.500  0.00
Rb2 0.000 0.500 0.500  0.00
Te1 0.500 0.234 0.205  -0.01
Te2 0.000 0.264 0.796  -0.01
Te3 0.500 0.766 0.795  -0.01
Te4 0.000 0.736 0.204  -0.01
Nd1 0.000 0.000 0.000  0.01
Ce1 0.500 0.500 0.000  0.98

***

5.
# RbCe2Nd3Te6

An optimized crystal structure of RbCe2Nd3Te6 (PBE, Alexandria via LeMat-Bulk).

Calculated values
- ΔE_f (raw): -131 kJ/mol of atoms
- Fermi-level density of states: 18.25 states/eV per cell
- ρ: 6.4 g/cm³
- SG: C2/m (12)

Unit cell a=4.506 b=9.330 c=10.260 alpha=103.59 beta=102.69 gamma=90.00
Site moments in Bohr magnetons follow the coordinates.
Sites, in units of the cell vectors:
Nd1 0.838 0.177 0.677  0.02
Nd2 0.162 0.823 0.323  0.02
Nd3 0.500 0.500 0.000  0.00
Te1 0.335 0.417 0.669  -0.01
Te2 0.665 0.583 0.331  -0.01
Te3 0.003 0.268 0.007  0.00
Te4 0.326 0.914 0.651  -0.01
Te5 0.997 0.732 0.993  0.00
Te6 0.674 0.086 0.349  -0.01
Rb1 0.500 0.000 0.000  0.00
Ce1 0.830 0.660 0.661  1.05
Ce2 0.170 0.340 0.339  1.05

***

6.
# Rb3CeNd2Te6

An optimized crystal structure of Rb3CeNd2Te6 (PBE, Alexandria via LeMat-Bulk).

Calculated values
- ΔE_f (raw): -133 kJ/mol of atoms
- Fermi-level density of states: 8.64 states/eV per cell
- ρ: 5.0 g/cm³
- SG: C2/m (12)

Unit cell a=8.085 b=8.085 c=8.980 alpha=98.63 beta=98.63 gamma=120.00
Site moments in Bohr magnetons follow the coordinates.
Sites, in units of the cell vectors:
Te1 0.403 0.068 0.205  -0.01
Te2 0.266 0.266 0.795  -0.01
Te3 0.597 0.932 0.795  -0.01
Te4 0.068 0.403 0.205  -0.01
Te5 0.932 0.597 0.795  -0.01
Te6 0.734 0.734 0.205  -0.01
Nd1 0.667 0.333 0.000  0.01
Nd2 0.333 0.667 0.000  0.01
Rb1 0.500 0.500 0.500  0.00
Rb2 0.167 0.833 0.500  0.00
Rb3 0.833 0.167 0.500  0.00
Ce1 0.000 0.000 0.000  0.99

***

7.
# CeNdRe4

An optimized crystal structure of CeNdRe4 (PBE, Alexandria via LeMat-Bulk).

Calculated values
- Fermi-level density of states: 13.97 states/eV per cell
- ρ: 14.6 g/cm³
- Energy of formation from the pure elements: 0.0336 eV/atom
- SG: F-43m (216)

Unit cell a=5.494 b=5.494 c=5.494 alpha=60.00 beta=60.00 gamma=60.00
Sites, in units of the cell vectors:
Re1 0.625 0.625 0.625
Re2 0.125 0.625 0.625
Re3 0.625 0.125 0.625
Re4 0.625 0.625 0.125
Ce1 0.000 0.000 0.000
Nd1 0.250 0.250 0.250

***

8.
# Ce2NdRe

An optimized crystal structure of Ce2NdRe (PBE, Alexandria via LeMat-Bulk).

Calculated values
- Energy above the most stable polymorph in this dataset: 121 meV per atom
- Fermi-level density of states: 7.01 states/eV per cell
- ρ: 10.3 g/cm³
- Energy of formation from the pure elements: 0.2687 eV/atom
- SG: R-3m (166)

Unit cell a=4.720 b=4.720 c=5.804 alpha=66.01 beta=66.01 gamma=60.00
Sites, in units of the cell vectors:
Ce1 0.735 0.735 0.794
Ce2 0.265 0.265 0.206
Re1 0.000 0.000 0.000
Nd1 0.500 0.500 0.500

***

9.
# CeNd2Re

An optimized crystal structure of CeNd2Re (PBE, Alexandria via LeMat-Bulk).

Calculated values
- Fermi-level density of states: 6.89 states/eV per cell
- ρ: 9.8 g/cm³
- Energy of formation from the pure elements: 0.8804 eV/atom
- SG: R-3m (166)

Unit cell a=3.214 b=3.214 c=11.780 alpha=82.16 beta=82.16 gamma=60.00
Sites, in units of the cell vectors:
Ce1 0.500 0.500 0.500
Nd1 0.922 0.922 0.235
Nd2 0.078 0.078 0.765
Re1 0.000 0.000 0.000

***

10.
# Ce2NdRe

An optimized crystal structure of Ce2NdRe (PBE, Alexandria via LeMat-Bulk).

Calculated values
- Energy above the most stable polymorph in this dataset: 0 meV per atom
- Fermi-level density of states: 9.24 states/eV per cell
- ρ: 9.6 g/cm³
- Energy of formation from the pure elements: 0.1476 eV/atom
- SG: P4/mmm (123)

Unit cell a=3.435 b=3.435 c=8.971 alpha=90.00 beta=90.00 gamma=90.00
Sites, in units of the cell vectors:
Ce1 0.000 0.000 0.194
Ce2 0.000 0.000 0.806
Nd1 0.500 0.500 0.500
Re1 0.500 0.500 0.000

***

11.
# CeNd2Rh2

An optimized crystal structure of CeNd2Rh2 (PBE, Alexandria via LeMat-Bulk).

Calculated values
- Energy above the most stable polymorph in this dataset: 19 meV per atom
- Fermi-level density of states: 10.47 states/eV per cell
- ρ: 8.3 g/cm³
- Energy of formation from the pure elements: -0.6095 eV/atom
- SG: C2/m (12)

Unit cell a=3.900 b=6.859 c=10.064 alpha=85.04 beta=78.83 gamma=73.48
Sites, in units of the cell vectors:
Rh1 0.131 0.298 0.439
Rh2 0.869 0.702 0.561
Rh3 0.992 0.886 0.131
Rh4 0.008 0.114 0.869
Nd1 0.460 0.392 0.688
Nd2 0.540 0.608 0.312
Nd3 0.667 0.737 0.929
Nd4 0.333 0.263 0.071
Ce1 0.797 0.053 0.352
Ce2 0.203 0.947 0.648

***

12.
# Ce2NdRh2

An optimized crystal structure of Ce2NdRh2 (PBE, Alexandria via LeMat-Bulk).

Calculated values
- Energy above the most stable polymorph in this dataset: 0 meV per atom
- Fermi-level density of states: 16.22 states/eV per cell
- ρ: 9.1 g/cm³
- Energy of formation from the pure elements: -0.5581 eV/atom
- SG: C2/m (12)

Unit cell a=4.573 b=7.526 c=8.528 alpha=90.46 beta=57.55 gamma=72.33
Sites, in units of the cell vectors:
Ce1 0.194 0.580 0.265
Ce2 0.985 0.324 0.103
Ce3 0.806 0.420 0.735
Ce4 0.015 0.676 0.897
Nd1 0.412 0.033 0.321
Nd2 0.588 0.967 0.679
Rh1 0.750 0.122 0.939
Rh2 0.397 0.695 0.505
Rh3 0.603 0.305 0.495
Rh4 0.250 0.878 0.061